## LaY3Ag (PBE)

Data for a relaxed LaY3Ag crystal.

Properties
**Density of states at the Fermi level**: 1.122 states/eV per atom
**ρ**: 4.867 g cm⁻³
**ΔE_f**: 910 meV per atom
**Magnetic moment**: 0.00 μB per formula unit
**Distance to the lowest polymorph of the same formula**: 757.3 meV per atom

Geometry as extended XYZ:
```
5
Lattice="5.596 0.000 0.000 0.000 5.596 0.000 0.000 0.000 5.596" Properties=species:S:1:pos:R:3 pbc="T T T"
La 0.000 0.000 0.000
Y 0.000 0.000 2.798
Y 0.000 2.798 0.000
Y 2.798 0.000 0.000
Ag 2.798 2.798 2.798
```

***

## La2YAg2 (PBE)

Data for a relaxed La2YAg2 crystal.

Properties
**Density of states at the Fermi level**: 0.840 states/eV per atom
**ρ**: 6.805 g cm⁻³
**ΔE_f**: -47 meV per atom
**Magnetic moment**: 0.00 μB per formula unit
**Distance to the lowest polymorph of the same formula**: 149.1 meV per atom

Geometry as extended XYZ:
```
10
Lattice="8.889 0.000 0.000 0.000 8.889 0.000 0.000 0.000 3.598" Properties=species:S:1:pos:R:3 pbc="T T T"
La 1.225 3.219 0.000
La 3.219 7.664 0.000
La 5.669 1.225 0.000
La 7.664 5.669 0.000
Y 0.000 0.000 0.000
Y 4.444 4.444 0.000
Ag 1.446 5.890 1.799
Ag 2.998 1.446 1.799
Ag 5.890 7.442 1.799
Ag 7.442 2.998 1.799
```